1.
# PBE TaAl2GeI, relaxed
# **Formation energy (no corrections)**: 943 meV/atom
# **DOS(E_F)**: 0.73 states/eV/atom
data_TaAl2GeI
_cell_length_a 4.945
_cell_length_b 4.945
_cell_length_c 5.075
_cell_angle_alpha 90.00
_cell_angle_beta 90.00
_cell_angle_gamma 90.00
_space_group_name_H-M_alt 'P 4/m m m'
_space_group_IT_number 123
_space_group_name_Hall '-P 4 2'
loop_
_atom_site_label
_atom_site_type_symbol
_atom_site_fract_x
_atom_site_fract_y
_atom_site_fract_z
Ta1 Ta 0.000 0.000 0.000
Al1 Al 0.000 0.500 0.500
Ge1 Ge 0.000 0.000 0.500
I1 I 0.500 0.500 0.000


2.
# PBE Ba4LiH7, relaxed
# **DOS(E_F)**: 0.21 states/eV/atom
# **Final energy**: -3.167 eV per atom
data_Ba4LiH7
_cell_length_a 14.733
_cell_length_b 4.402
_cell_length_c 9.873
_cell_angle_alpha 90.00
_cell_angle_beta 131.66
_cell_angle_gamma 90.00
_space_group_name_H-M_alt 'C 1 2/m 1'
_space_group_IT_number 12
_space_group_name_Hall '-C 2y'
loop_
_atom_site_label
_atom_site_type_symbol
_atom_site_fract_x
_atom_site_fract_y
_atom_site_fract_z
Ba1 Ba 0.086 0.000 0.295
Ba2 Ba 0.233 0.000 0.826
Li1 Li 0.000 0.500 0.500
H1 H 0.000 0.000 0.500
H2 H 0.087 0.500 0.770
H3 H 0.135 0.000 0.048
H4 H 0.204 0.500 0.358


3.
# PBE PmPu2Ru, relaxed
# **Polymorph energy (0 for the lowest one)**: 66 meV per atom
# **DOS(E_F)**: 3.07 states/eV/atom
# **Energy of formation**: 0.021 eV/atom
data_PmPu2Ru
_cell_length_a 3.418
_cell_length_b 3.418
_cell_length_c 8.513
_cell_angle_alpha 90.00
_cell_angle_beta 90.00
_cell_angle_gamma 90.00
_space_group_name_H-M_alt 'P 4/m m m'
_space_group_IT_number 123
_space_group_name_Hall '-P 4 2'
loop_
_atom_site_label
_atom_site_type_symbol
_atom_site_fract_x
_atom_site_fract_y
_atom_site_fract_z
Pm1 Pm 0.000 0.000 0.000
Pu1 Pu 0.500 0.500 0.307
Ru1 Ru 0.000 0.000 0.500


> The highest DOS(E_F) belongs to which entry?

PmPu2Ru


> Which of these has the lowest DOS(E_F)?

Ba4LiH7


> Which formula does entry 2 have?

Ba4LiH7


> The highest DOS(E_F) belongs to which entry?

PmPu2Ru